A plane-wave DFT calculation with PBE was carried out for NpNbHgO6 after structural relaxation.

Results
Total energy: -8.0157 eV/atom
Uncorrected formation energy: -2.120 eV/atom

Unit cell a=5.5987 b=5.5987 c=9.8148 alpha=90.00 beta=90.00 gamma=120.00
Last column: nearest neighbours and their distance in Å.
Element x y z (fractional)
O 0.3600 0.3727 0.8591  1 Nb 2.03, 1 Np 2.13
O 0.0128 0.6400 0.8591  1 Nb 2.03, 1 Np 2.13
O 0.6400 0.0127 0.3591  1 Nb 2.03, 1 Np 2.13
O 0.9872 0.3600 0.1409  1 Nb 2.03, 1 Np 2.13
O 0.6400 0.6273 0.1409  1 Nb 2.03, 1 Np 2.13
O 0.6273 0.9872 0.8591  1 Nb 2.03, 1 Np 2.13
O 0.9872 0.6273 0.3591  1 Nb 2.03, 1 Np 2.13
O 0.0128 0.3727 0.6409  1 Nb 2.03, 1 Np 2.13
O 0.3727 0.3600 0.3591  1 Nb 2.03, 1 Np 2.13
O 0.6273 0.6400 0.6409  1 Nb 2.03, 1 Np 2.13
O 0.3727 0.0127 0.1409  1 Nb 2.03, 1 Np 2.13
O 0.3600 0.9872 0.6409  1 Nb 2.03, 1 Np 2.13
Nb 0.6667 0.3333 0.2500  6 O 2.03
Nb 0.3333 0.6667 0.7500  6 O 2.03
Np 0.3333 0.6667 0.2500  6 O 2.13
Np 0.6667 0.3333 0.7500  6 O 2.13
Hg 0.0000 0.0000 0.0000  6 O 2.47
Hg 0.0000 0.0000 0.5000  6 O 2.47